Record 1
# GGA-PBE TaAg2Hg, optimized geometry
# Formation energy (eV/atom): 0.550
# Final energy (eV per atom): -3.914
# ρ (g/cm³): 13.115
data_TaAg2Hg
_chemical_formula_sum 'Ta1 Ag2 Hg1'
_cell_length_a 4.136
_cell_length_b 4.136
_cell_length_c 4.420
_cell_angle_alpha 90.00
_cell_angle_beta 90.00
_cell_angle_gamma 90.00
_space_group_name_H-M_alt 'P 4/m m m'
_space_group_IT_number 123
_space_group_name_Hall '-P 4 2'
loop_
_atom_site_label
_atom_site_fract_x
_atom_site_fract_y
_atom_site_fract_z
Ta1 0.000 0.000 0.000
Ag1 0.000 0.500 0.500
Hg1 0.500 0.500 0.000


Record 2
# GGA-PBE TaAg2Hg, optimized geometry
# Formation energy (eV/atom): 0.393
# Final energy (eV per atom): -4.071
# ρ (g/cm³): 13.193
data_TaAg2Hg
_chemical_formula_sum 'Ta2 Ag4 Hg2'
_cell_length_a 9.646
_cell_length_b 2.852
_cell_length_c 5.511
_cell_angle_alpha 90.00
_cell_angle_beta 97.48
_cell_angle_gamma 90.00
_space_group_name_H-M_alt 'C 1 m 1'
_space_group_IT_number 8
_space_group_name_Hall 'C -2y'
loop_
_atom_site_label
_atom_site_fract_x
_atom_site_fract_y
_atom_site_fract_z
Ta1 0.000 0.000 0.000
Ag1 0.250 0.000 0.756
Ag2 0.499 0.000 0.512
Hg1 0.249 0.500 0.249


Record 3
# GGA-PBE TaAg2Hg, optimized geometry
# Formation energy (eV/atom): 0.344
# Final energy (eV per atom): -4.120
# ρ (g/cm³): 13.244
data_TaAg2Hg
_chemical_formula_sum 'Ta2 Ag4 Hg2'
_cell_length_a 9.765
_cell_length_b 2.843
_cell_length_c 5.425
_cell_angle_alpha 90.00
_cell_angle_beta 96.05
_cell_angle_gamma 90.00
_space_group_name_H-M_alt 'C 1 2/m 1'
_space_group_IT_number 12
_space_group_name_Hall '-C 2y'
loop_
_atom_site_label
_atom_site_fract_x
_atom_site_fract_y
_atom_site_fract_z
Ta1 0.000 0.000 0.000
Ag1 0.247 0.500 0.235
Hg1 0.000 0.500 0.500


Record 4
# GGA-PBE TaAg2Hg, optimized geometry
# Formation energy (eV/atom): 0.253
# Final energy (eV per atom): -4.211
# ρ (g/cm³): 13.037
data_TaAg2Hg
_chemical_formula_sum 'Ta2 Ag4 Hg2'
_cell_length_a 3.298
_cell_length_b 4.644
_cell_length_c 9.934
_cell_angle_alpha 90.00
_cell_angle_beta 90.00
_cell_angle_gamma 90.00
_space_group_name_H-M_alt 'C m m m'
_space_group_IT_number 65
_space_group_name_Hall '-C 2 2'
loop_
_atom_site_label
_atom_site_fract_x
_atom_site_fract_y
_atom_site_fract_z
Ta1 0.000 0.000 0.000
Ag1 0.000 0.500 0.240
Hg1 0.000 0.000 0.500


Record 5
# GGA-PBE TaAg2Hg, optimized geometry
# Formation energy (eV/atom): 0.366
# Final energy (eV per atom): -4.098
# ρ (g/cm³): 13.173
data_TaAg2Hg
_chemical_formula_sum 'Ta1 Ag2 Hg1'
_cell_length_a 2.840
_cell_length_b 4.844
_cell_length_c 5.480
_cell_angle_alpha 90.00
_cell_angle_beta 93.05
_cell_angle_gamma 90.00
_space_group_name_H-M_alt 'P 1 2/m 1'
_space_group_IT_number 10
_space_group_name_Hall '-P 2y'
loop_
_atom_site_label
_atom_site_fract_x
_atom_site_fract_y
_atom_site_fract_z
Ta1 0.000 0.000 0.000
Ag1 0.316 0.500 0.762
Hg1 0.500 0.000 0.500


Record 6
# GGA-PBE TaTcAgHg2, optimized geometry
# Formation energy (eV/atom): 1.778
# Final energy (eV per atom): -3.356
# ρ (g/cm³): 10.137
data_TaTcAgHg2
_chemical_formula_sum 'Ta1 Tc1 Ag1 Hg2'
_cell_length_a 4.996
_cell_length_b 4.996
_cell_length_c 5.172
_cell_angle_alpha 90.00
_cell_angle_beta 90.00
_cell_angle_gamma 90.00
_space_group_name_H-M_alt 'P 4/m m m'
_space_group_IT_number 123
_space_group_name_Hall '-P 4 2'
loop_
_atom_site_label
_atom_site_fract_x
_atom_site_fract_y
_atom_site_fract_z
Ta1 0.000 0.000 0.000
Tc1 0.500 0.500 0.000
Ag1 0.000 0.000 0.500
Hg1 0.000 0.500 0.500


Record 7
# GGA-PBE TaAgHg2Te, optimized geometry
# E_form (uncorrected) (eV per atom): 0.65
# Final energy (eV per atom): -3.044
# ρ (g/cm³): 8.576
data_TaAgHg2Te
_chemical_formula_sum 'Ta1 Ag1 Hg2 Te1'
_cell_length_a 5.499
_cell_length_b 5.499
_cell_length_c 5.234
_cell_angle_alpha 90.00
_cell_angle_beta 90.00
_cell_angle_gamma 90.00
_space_group_name_H-M_alt 'P 4/m m m'
_space_group_IT_number 123
_space_group_name_Hall '-P 4 2'
loop_
_atom_site_label
_atom_site_fract_x
_atom_site_fract_y
_atom_site_fract_z
Ta1 0.000 0.000 0.000
Ag1 0.500 0.500 0.500
Hg1 0.000 0.500 0.000
Te1 0.000 0.000 0.500


Record 8
# GGA-PBE TaVAg2Hg, optimized geometry
# Formation energy (eV/atom): 1.182
# Final energy (eV per atom): -4.213
# ρ (g/cm³): 9.623
data_TaVAg2Hg
_chemical_formula_sum 'Ta1 V1 Ag2 Hg1'
_cell_length_a 4.987
_cell_length_b 4.987
_cell_length_c 4.498
_cell_angle_alpha 90.00
_cell_angle_beta 90.00
_cell_angle_gamma 90.00
_space_group_name_H-M_alt 'P 4/m m m'
_space_group_IT_number 123
_space_group_name_Hall '-P 4 2'
loop_
_atom_site_label
_atom_site_fract_x
_atom_site_fract_y
_atom_site_fract_z
Ta1 0.000 0.000 0.000
V1 0.000 0.000 0.500
Ag1 0.000 0.500 0.500
Hg1 0.500 0.500 0.000


Record 9
# GGA-PBE YTaAgHg2, optimized geometry
# Formation energy (eV/atom): 0.887
# Final energy (eV per atom): -3.467
# ρ (g/cm³): 9.636
data_YTaAgHg2
_chemical_formula_sum 'Y1 Ta1 Ag1 Hg2'
_cell_length_a 5.078
_cell_length_b 5.078
_cell_length_c 5.205
_cell_angle_alpha 90.00
_cell_angle_beta 90.00
_cell_angle_gamma 90.00
_space_group_name_H-M_alt 'P 4/m m m'
_space_group_IT_number 123
_space_group_name_Hall '-P 4 2'
loop_
_atom_site_label
_atom_site_fract_x
_atom_site_fract_y
_atom_site_fract_z
Y1 0.000 0.000 0.000
Ta1 0.500 0.500 0.000
Ag1 0.500 0.500 0.500
Hg1 0.000 0.500 0.500


Record 10
# GGA-PBE TaZn2AgHg, optimized geometry
# Formation energy (eV/atom): 1.123
# Final energy (eV per atom): -2.388
# ρ (g/cm³): 7.472
data_TaZn2AgHg
_chemical_formula_sum 'Ta1 Zn2 Ag1 Hg1'
_cell_length_a 5.085
_cell_length_b 5.085
_cell_length_c 5.331
_cell_angle_alpha 90.00
_cell_angle_beta 90.00
_cell_angle_gamma 90.00
_space_group_name_H-M_alt 'P 4/m m m'
_space_group_IT_number 123
_space_group_name_Hall '-P 4 2'
loop_
_atom_site_label
_atom_site_fract_x
_atom_site_fract_y
_atom_site_fract_z
Ta1 0.000 0.000 0.000
Zn1 0.000 0.500 0.000
Ag1 0.500 0.500 0.500
Hg1 0.000 0.000 0.500


Record 11
# GGA-PBE Tb2AgHg3, optimized geometry
# Formation energy (eV/atom): -0.381
# Final energy (eV per atom): -2.550
# ρ (g/cm³): 11.952
data_Tb2AgHg3
_chemical_formula_sum 'Tb16 Ag8 Hg24'
_cell_length_a 6.801
_cell_length_b 9.837
_cell_length_c 17.070
_cell_angle_alpha 90.00
_cell_angle_beta 90.00
_cell_angle_gamma 90.00
_space_group_name_H-M_alt 'F m m m'
_space_group_IT_number 69
_space_group_name_Hall '-F 2 2'
loop_
_atom_site_label
_atom_site_fract_x
_atom_site_fract_y
_atom_site_fract_z
Tb1 0.249 0.000 0.000
Tb2 0.250 0.250 0.250
Ag1 0.000 0.000 0.167
Hg1 0.000 0.000 0.331
Hg2 0.000 0.246 0.085


Record 12
# GGA-PBE TbAgHg, optimized geometry
# Formation energy (eV/atom): -0.335
# Final energy (eV per atom): -2.930
# ρ (g/cm³): 11.128
data_TbAgHg
_chemical_formula_sum 'Tb2 Ag2 Hg2'
_cell_length_a 3.838
_cell_length_b 3.838
_cell_length_c 9.470
_cell_angle_alpha 90.00
_cell_angle_beta 90.00
_cell_angle_gamma 90.00
_space_group_name_H-M_alt 'I 4 m m'
_space_group_IT_number 107
_space_group_name_Hall 'I 4 -2'
loop_
_atom_site_label
_atom_site_fract_x
_atom_site_fract_y
_atom_site_fract_z
Tb1 0.000 0.000 0.000
Ag1 0.000 0.000 0.331
Hg1 0.000 0.000 0.671


Record 13
# GGA-PBE Tb3AgHg, optimized geometry
# Offset from the most stable computed form (meV per atom): 0
# Formation energy (eV/atom): -0.299
# Final energy (eV per atom): -3.708
# ρ (g/cm³): 9.751
data_Tb3AgHg
_chemical_formula_sum 'Tb12 Ag4 Hg4'
_cell_length_a 5.212
_cell_length_b 19.690
_cell_length_c 5.212
_cell_angle_alpha 90.00
_cell_angle_beta 90.00
_cell_angle_gamma 90.00
_space_group_name_H-M_alt 'C m c m'
_space_group_IT_number 63
_space_group_name_Hall '-C 2c 2'
loop_
_atom_site_label
_atom_site_fract_x
_atom_site_fract_y
_atom_site_fract_z
Tb1 0.000 0.063 0.250
Tb2 0.000 0.250 0.250
Tb3 0.000 0.436 0.250
Ag1 0.000 0.343 0.750
Hg1 0.000 0.155 0.750


Record 14
# GGA-PBE TbAg2Hg, optimized geometry
# Formation energy (eV/atom): -0.173
# Final energy (eV per atom): -2.831
# ρ (g/cm³): 10.598
data_TbAg2Hg
_chemical_formula_sum 'Tb1 Ag2 Hg1'
_cell_length_a 3.724
_cell_length_b 3.724
_cell_length_c 6.500
_cell_angle_alpha 90.00
_cell_angle_beta 90.00
_cell_angle_gamma 90.00
_space_group_name_H-M_alt 'P 4/m m m'
_space_group_IT_number 123
_space_group_name_Hall '-P 4 2'
loop_
_atom_site_label
_atom_site_fract_x
_atom_site_fract_y
_atom_site_fract_z
Tb1 0.000 0.000 0.000
Ag1 0.500 0.500 0.256
Hg1 0.000 0.000 0.500


Record 15
# GGA-PBE Tb3Ag2Hg3, optimized geometry
# Formation energy (eV/atom): -0.348
# Final energy (eV per atom): -2.911
# ρ (g/cm³): 11.144
data_Tb3Ag2Hg3
_chemical_formula_sum 'Tb6 Ag4 Hg6'
_cell_length_a 20.191
_cell_length_b 3.871
_cell_length_c 5.096
_cell_angle_alpha 90.00
_cell_angle_beta 104.47
_cell_angle_gamma 90.00
_space_group_name_H-M_alt 'C 1 2/m 1'
_space_group_IT_number 12
_space_group_name_Hall '-C 2y'
loop_
_atom_site_label
_atom_site_fract_x
_atom_site_fract_y
_atom_site_fract_z
Tb1 0.000 0.000 0.000
Tb2 0.138 0.000 0.637
Ag1 0.242 0.000 0.242
Hg1 0.000 0.500 0.500
Hg2 0.128 0.500 0.127